Version a
# LaTa2Tc | Alexandria | SCAN | single point on PBEsol structure
# Volume ... 19.388 A^3/atom
# Total moment ... 0.00 Bohr magnetons per cell
data_LaTa2Tc
_chemical_formula_sum 'La1 Ta2 Tc1'
_symmetry_space_group_name_H-M 'P 4/m m m'
_symmetry_Int_Tables_number 123
_symmetry_space_group_name_Hall '-P 4 2'
_cell_length_a 3.890
_cell_length_b 3.890
_cell_length_c 5.124
_cell_angle_alpha 90.00
_cell_angle_beta 90.00
_cell_angle_gamma 90.00
loop_
_atom_site_label
_atom_site_type_symbol
_atom_site_fract_x
_atom_site_fract_y
_atom_site_fract_z
La1 La 0.000 0.000 0.000
Ta1 Ta 0.000 0.500 0.500
Tc1 Tc 0.500 0.500 0.000

---

Version b
# LaTa2Tc | Alexandria | SCAN | single point on PBEsol structure
# Volume ... 19.891 A^3/atom
# Total moment ... 0.00 Bohr magnetons per cell
data_LaTa2Tc
_chemical_formula_sum 'La1 Ta2 Tc1'
_symmetry_space_group_name_H-M 'P 4 m m'
_symmetry_Int_Tables_number 99
_cell_length_a 3.168
_cell_length_b 3.168
_cell_length_c 7.927
_cell_angle_alpha 90.00
_cell_angle_beta 90.00
_cell_angle_gamma 90.00
loop_
_symmetry_equiv_pos_as_xyz
'x,y,z'
'-y,x,z'
'-x,-y,z'
'y,-x,z'
'-x,y,z'
'y,x,z'
'x,-y,z'
'-y,-x,z'
loop_
_atom_site_label
_atom_site_type_symbol
_atom_site_fract_x
_atom_site_fract_y
_atom_site_fract_z
La1 La 0.000 0.000 0.000
Ta1 Ta 0.000 0.000 0.545
Ta2 Ta 0.500 0.500 0.320
Tc1 Tc 0.500 0.500 0.721

---

Least stable = version a

---

Version a
# LaTaTe | Alexandria | SCAN | single point on PBEsol structure
# Volume ... 25.591 A^3/atom
# Total moment ... 0.00 Bohr magnetons per cell
data_LaTaTe
_chemical_formula_sum 'La1 Ta1 Te1'
_symmetry_space_group_name_H-M 'P 3 m 1'
_symmetry_Int_Tables_number 156
_cell_length_a 3.5208
_cell_length_b 3.5208
_cell_length_c 7.1516
_cell_angle_alpha 90.00
_cell_angle_beta 90.00
_cell_angle_gamma 120.00
loop_
_symmetry_equiv_pos_as_xyz
'x,y,z'
'-y,x-y,z'
'-x+y,-x,z'
'-y,-x,z'
'-x+y,y,z'
'x,x-y,z'
loop_
_atom_site_label
_atom_site_type_symbol
_atom_site_fract_x
_atom_site_fract_y
_atom_site_fract_z
La1 La 0.0000 0.0000 0.0000
Ta1 Ta 0.3333 0.6667 0.6522
Te1 Te 0.6667 0.3333 0.3868

---

Version b
# LaTaTe | Alexandria | SCAN | single point on PBEsol structure
# Volume ... 25.313 A^3/atom
# Total moment ... 0.00 Bohr magnetons per cell
data_LaTaTe
_chemical_formula_sum 'La1 Ta1 Te1'
_symmetry_space_group_name_H-M 'P -6 m 2'
_symmetry_Int_Tables_number 187
_symmetry_space_group_name_Hall 'P -6 2'
_cell_length_a 4.8137
_cell_length_b 4.8137
_cell_length_c 3.7842
_cell_angle_alpha 90.00
_cell_angle_beta 90.00
_cell_angle_gamma 120.00
loop_
_atom_site_label
_atom_site_type_symbol
_atom_site_fract_x
_atom_site_fract_y
_atom_site_fract_z
La1 La 0.0000 0.0000 0.0000
Ta1 Ta 0.3333 0.6667 0.5000
Te1 Te 0.6667 0.3333 0.5000

---

Least stable = version b

---

Version a
# La2TaTl | Alexandria | SCAN | single point on PBEsol structure
# Volume ... 26.737 A^3/atom
# Total moment ... 11.01 Bohr magnetons per cell
data_La2TaTl
_chemical_formula_sum 'La8 Ta4 Tl4'
_symmetry_space_group_name_H-M 'F m -3 m'
_symmetry_Int_Tables_number 225
_symmetry_space_group_name_Hall '-F 4 2 3'
_cell_length_a 7.535
_cell_length_b 7.535
_cell_length_c 7.535
_cell_angle_alpha 90.00
_cell_angle_beta 90.00
_cell_angle_gamma 90.00
loop_
_atom_site_label
_atom_site_type_symbol
_atom_site_fract_x
_atom_site_fract_y
_atom_site_fract_z
La1 La 0.250 0.250 0.250
Ta1 Ta 0.000 0.000 0.000
Tl1 Tl 0.000 0.000 0.500

---

Version b
# La2TaTl | Alexandria | SCAN | single point on PBEsol structure
# Volume ... 26.340 A^3/atom
# Total moment ... 0.00 Bohr magnetons per cell
data_La2TaTl
_chemical_formula_sum 'La2 Ta1 Tl1'
_symmetry_space_group_name_H-M 'P 4/m m m'
_symmetry_Int_Tables_number 123
_symmetry_space_group_name_Hall '-P 4 2'
_cell_length_a 3.245
_cell_length_b 3.245
_cell_length_c 10.004
_cell_angle_alpha 90.00
_cell_angle_beta 90.00
_cell_angle_gamma 90.00
loop_
_atom_site_label
_atom_site_type_symbol
_atom_site_fract_x
_atom_site_fract_y
_atom_site_fract_z
La1 La 0.000 0.000 0.231
Ta1 Ta 0.500 0.500 0.000
Tl1 Tl 0.500 0.500 0.500

---

Least stable = version a

---

Version a
# LaTa2W | Alexandria | SCAN | single point on PBEsol structure
# Volume ... 19.648 A^3/atom
# Total moment ... 0.00 Bohr magnetons per cell
data_LaTa2W
_chemical_formula_sum 'La2 Ta4 W2'
_symmetry_space_group_name_H-M 'I m m m'
_symmetry_Int_Tables_number 71
_symmetry_space_group_name_Hall '-I 2 2'
_cell_length_a 3.204
_cell_length_b 5.157
_cell_length_c 9.513
_cell_angle_alpha 90.00
_cell_angle_beta 90.00
_cell_angle_gamma 90.00
loop_
_atom_site_label
_atom_site_type_symbol
_atom_site_fract_x
_atom_site_fract_y
_atom_site_fract_z
La1 La 0.000 0.000 0.000
Ta1 Ta 0.000 0.500 0.234
W1 W 0.000 0.000 0.500

---

Version b
# LaTa2W | Alexandria | SCAN | single point on PBEsol structure
# Volume ... 18.908 A^3/atom
# Total moment ... 0.00 Bohr magnetons per cell
data_LaTa2W
_chemical_formula_sum 'La1 Ta2 W1'
_symmetry_space_group_name_H-M 'P 4/m m m'
_symmetry_Int_Tables_number 123
_symmetry_space_group_name_Hall '-P 4 2'
_cell_length_a 4.906
_cell_length_b 4.906
_cell_length_c 3.142
_cell_angle_alpha 90.00
_cell_angle_beta 90.00
_cell_angle_gamma 90.00
loop_
_atom_site_label
_atom_site_type_symbol
_atom_site_fract_x
_atom_site_fract_y
_atom_site_fract_z
La1 La 0.000 0.000 0.000
Ta1 Ta 0.000 0.500 0.500
W1 W 0.500 0.500 0.000

---

Least stable = version b

---

Version a
# LaYTa2 | Alexandria | SCAN | single point on PBEsol structure
# Volume ... 22.680 A^3/atom
# Total moment ... 0.00 Bohr magnetons per cell
data_LaYTa2
_chemical_formula_sum 'La3 Y3 Ta6'
_symmetry_space_group_name_H-M 'R -3 m'
_symmetry_Int_Tables_number 166
_symmetry_space_group_name_Hall '-R 3 2"'
_cell_length_a 3.1085
_cell_length_b 3.1085
_cell_length_c 32.5220
_cell_angle_alpha 90.00
_cell_angle_beta 90.00
_cell_angle_gamma 120.00
loop_
_atom_site_label
_atom_site_type_symbol
_atom_site_fract_x
_atom_site_fract_y
_atom_site_fract_z
La1 La 0.0000 0.0000 0.0000
Y1 Y 0.0000 0.0000 0.5000
Ta1 Ta 0.0000 0.0000 0.2466

---

Version b
# LaYTa2 | Alexandria | SCAN | single point on PBEsol structure
# Volume ... 23.641 A^3/atom
# Total moment ... 0.00 Bohr magnetons per cell
data_LaYTa2
_chemical_formula_sum 'La1 Y1 Ta2'
_symmetry_space_group_name_H-M 'P 4/m m m'
_symmetry_Int_Tables_number 123
_symmetry_space_group_name_Hall '-P 4 2'
_cell_length_a 3.768
_cell_length_b 3.768
_cell_length_c 6.662
_cell_angle_alpha 90.00
_cell_angle_beta 90.00
_cell_angle_gamma 90.00
loop_
_atom_site_label
_atom_site_type_symbol
_atom_site_fract_x
_atom_site_fract_y
_atom_site_fract_z
La1 La 0.000 0.000 0.000
Y1 Y 0.000 0.000 0.500
Ta1 Ta 0.500 0.500 0.208

---

Least stable = version b

---

Version a
# LaY2Ta | Alexandria | SCAN | single point on PBEsol structure
# Volume ... 25.934 A^3/atom
# Total moment ... 5.83 Bohr magnetons per cell
data_LaY2Ta
_chemical_formula_sum 'La4 Y8 Ta4'
_symmetry_space_group_name_H-M 'F -4 3 m'
_symmetry_Int_Tables_number 216
_symmetry_space_group_name_Hall 'F -4 2 3'
_cell_length_a 7.459
_cell_length_b 7.459
_cell_length_c 7.459
_cell_angle_alpha 90.00
_cell_angle_beta 90.00
_cell_angle_gamma 90.00
loop_
_atom_site_label
_atom_site_type_symbol
_atom_site_fract_x
_atom_site_fract_y
_atom_site_fract_z
La1 La 0.000 0.000 0.000
Y1 Y 0.000 0.000 0.500
Y2 Y 0.250 0.250 0.250
Ta1 Ta 0.250 0.250 0.750

---

Version b
# LaY2Ta | Alexandria | SCAN | single point on PBEsol structure
# Volume ... 26.308 A^3/atom
# Total moment ... 0.00 Bohr magnetons per cell
data_LaY2Ta
_chemical_formula_sum 'La1 Y2 Ta1'
_symmetry_space_group_name_H-M 'P m m m'
_symmetry_Int_Tables_number 47
_cell_length_a 3.268
_cell_length_b 4.773
_cell_length_c 6.747
_cell_angle_alpha 90.00
_cell_angle_beta 90.00
_cell_angle_gamma 90.00
loop_
_symmetry_equiv_pos_as_xyz
'x,y,z'
'-x,-y,-z'
'-x,-y,z'
'x,y,-z'
'x,-y,-z'
'-x,y,z'
'-x,y,-z'
'x,-y,z'
loop_
_atom_site_label
_atom_site_type_symbol
_atom_site_fract_x
_atom_site_fract_y
_atom_site_fract_z
La1 La 0.000 0.000 0.000
Y1 Y 0.500 0.500 0.276
Ta1 Ta 0.000 0.000 0.500

---

Least stable = version a

---

Version a
# LaYTa | Alexandria | SCAN | single point on PBEsol structure
# Volume ... 25.027 A^3/atom
# Total moment ... 0.00 Bohr magnetons per cell
data_LaYTa
_chemical_formula_sum 'La2 Y2 Ta2'
_symmetry_space_group_name_H-M 'I m m 2'
_symmetry_Int_Tables_number 44
_cell_length_a 3.152
_cell_length_b 4.850
_cell_length_c 9.821
_cell_angle_alpha 90.00
_cell_angle_beta 90.00
_cell_angle_gamma 90.00
loop_
_symmetry_equiv_pos_as_xyz
'x,y,z'
'-x,-y,z'
'-x,y,z'
'x,-y,z'
'x+1/2,y+1/2,z+1/2'
'-x+1/2,-y+1/2,z+1/2'
'-x+1/2,y+1/2,z+1/2'
'x+1/2,-y+1/2,z+1/2'
loop_
_atom_site_label
_atom_site_type_symbol
_atom_site_fract_x
_atom_site_fract_y
_atom_site_fract_z
La1 La 0.000 0.000 0.000
Y1 Y 0.000 0.000 0.685
Ta1 Ta 0.000 0.000 0.337

---

Version b
# LaYTa | Alexandria | SCAN | single point on PBEsol structure
# Volume ... 26.274 A^3/atom
# Total moment ... 0.00 Bohr magnetons per cell
data_LaYTa
_chemical_formula_sum 'La2 Y2 Ta2'
_symmetry_space_group_name_H-M 'I 4 m m'
_symmetry_Int_Tables_number 107
_symmetry_space_group_name_Hall 'I 4 -2'
_cell_length_a 3.182
_cell_length_b 3.182
_cell_length_c 15.569
_cell_angle_alpha 90.00
_cell_angle_beta 90.00
_cell_angle_gamma 90.00
loop_
_atom_site_label
_atom_site_type_symbol
_atom_site_fract_x
_atom_site_fract_y
_atom_site_fract_z
La1 La 0.000 0.000 0.000
Y1 Y 0.000 0.000 0.708
Ta1 Ta 0.000 0.000 0.348

---

Least stable = version a

---

Version a
# LaTc2 | Alexandria | SCAN | single point on PBEsol structure
# Volume ... 20.278 A^3/atom
# Total moment ... 0.00 Bohr magnetons per cell
data_LaTc2
_chemical_formula_sum 'La4 Tc8'
_symmetry_space_group_name_H-M 'I m m a'
_symmetry_Int_Tables_number 74
_symmetry_space_group_name_Hall '-I 2b 2'
_cell_length_a 4.230
_cell_length_b 7.340
_cell_length_c 7.837
_cell_angle_alpha 90.00
_cell_angle_beta 90.00
_cell_angle_gamma 90.00
loop_
_atom_site_label
_atom_site_type_symbol
_atom_site_fract_x
_atom_site_fract_y
_atom_site_fract_z
La1 La 0.000 0.250 0.069
Tc1 Tc 0.000 0.087 0.665

---

Version b
# LaTc2 | Alexandria | SCAN | single point on PBEsol structure
# Volume ... 18.766 A^3/atom
# Total moment ... 0.00 Bohr magnetons per cell
data_LaTc2
_chemical_formula_sum 'La4 Tc8'
_symmetry_space_group_name_H-M 'P 63/m m c'
_symmetry_Int_Tables_number 194
_symmetry_space_group_name_Hall '-P 6c 2c'
_cell_length_a 5.2815
_cell_length_b 5.2815
_cell_length_c 9.3218
_cell_angle_alpha 90.00
_cell_angle_beta 90.00
_cell_angle_gamma 120.00
loop_
_atom_site_label
_atom_site_type_symbol
_atom_site_fract_x
_atom_site_fract_y
_atom_site_fract_z
La1 La 0.3333 0.6667 0.0617
Tc1 Tc 0.0000 0.0000 0.0000
Tc2 Tc 0.1697 0.3394 0.7500

---

Version c
# LaTc2 | Alexandria | SCAN | single point on PBEsol structure
# Volume ... 22.227 A^3/atom
# Total moment ... 0.00 Bohr magnetons per cell
data_LaTc2
_chemical_formula_sum 'La1 Tc2'
_symmetry_space_group_name_H-M 'P -3 m 1'
_symmetry_Int_Tables_number 164
_symmetry_space_group_name_Hall '-P 3 2"'
_cell_length_a 4.0624
_cell_length_b 4.0624
_cell_length_c 4.6658
_cell_angle_alpha 90.00
_cell_angle_beta 90.00
_cell_angle_gamma 120.00
loop_
_atom_site_label
_atom_site_type_symbol
_atom_site_fract_x
_atom_site_fract_y
_atom_site_fract_z
La1 La 0.0000 0.0000 0.0000
Tc1 Tc 0.3333 0.6667 0.4650

---

Least stable = version b